# 1
Below is an optimized crystal structure of Nd2Ga5Ag3, with properties calculated at the GGA-PBE level.

Properties
Space group: No. 72
Calculated formation energy: -0.424 eV/atom
E: -74.93 eV for the cell shown

Cell lengths 8.8121, 8.8121, 8.8121 Å; angles 106.26, 87.87, 139.21 degrees
Atoms (fractional coordinates):
Nd1 0.1285 0.2352 0.3637
Nd2 0.3715 0.7352 0.1066
Nd3 0.6285 0.2648 0.8934
Nd4 0.8715 0.7648 0.6363
Ga1 0.0299 0.7500 0.2799
Ga2 0.1134 0.6563 0.7697
Ga3 0.2500 0.2500 0.0000
Ga4 0.3866 0.1563 0.5429
Ga5 0.4701 0.7500 0.7201
Ga6 0.5299 0.2500 0.2799
Ga7 0.6134 0.8437 0.4571
Ga8 0.7500 0.7500 0.0000
Ga9 0.8866 0.3437 0.2303
Ga10 0.9701 0.2500 0.7201
Ag1 0.1392 0.8925 0.0317
Ag2 0.2500 0.7500 0.5000
Ag3 0.3608 0.3925 0.7533
Ag4 0.6392 0.6075 0.2467
Ag5 0.7500 0.2500 0.5000
Ag6 0.8608 0.1075 0.9683



# 2
Below is an optimized crystal structure of Cs3NpU2Se6, with properties calculated at the GGA-PBE level.

Properties
Raw formation energy: -1214.2 meV/atom
Space group: No. 12
E: -73.56 eV for the cell shown

Cell lengths 7.4189, 7.4189, 8.7830 Å; angles 98.10, 98.10, 119.99 degrees
Atoms (fractional coordinates):
Cs1 0.0000 0.0000 0.0000
Cs2 0.3339 0.6661 0.0000
Cs3 0.6661 0.3339 0.0000
Np1 0.5000 0.5000 0.5000
U1 0.1667 0.8333 0.5000
U2 0.8333 0.1667 0.5000
Se1 0.1015 0.4376 0.3129
Se2 0.2261 0.2261 0.6869
Se3 0.4376 0.1015 0.3129
Se4 0.5624 0.8985 0.6871
Se5 0.7739 0.7739 0.3131
Se6 0.8985 0.5624 0.6871



# 3
Below is an optimized crystal structure of Ta5Ru, with properties calculated at the GGA-PBE level.

Properties
Space group: No. 12
Calculated formation energy: -0.207 eV/atom
E: -69.78 eV for the cell shown

Cell lengths 5.4278, 5.4278, 6.5150 Å; angles 108.08, 108.08, 35.06 degrees
Atoms (fractional coordinates):
Ta1 0.0000 0.0000 0.0000
Ta2 0.3356 0.3356 0.1719
Ta3 0.3370 0.3370 0.6641
Ta4 0.6630 0.6630 0.3359
Ta5 0.6644 0.6644 0.8281
Ru1 0.0000 0.0000 0.5000



# 4
Below is an optimized crystal structure of SrCdMo, with properties calculated at the GGA-PBE level.

Properties
Space group: No. 216
Calculated formation energy: 1.449 eV/atom
E: -9.08 eV for the cell shown

Cell lengths 5.2493, 5.2493, 5.2493 Å; angles 60.00, 60.00, 60.00 degrees
Atoms (fractional coordinates):
Sr1 0.0000 0.0000 0.0000
Cd1 0.7500 0.7500 0.7500
Mo1 0.2500 0.2500 0.2500



# 5
Below is an optimized crystal structure of SrCdAs2Pb, with properties calculated at the GGA-PBE level.

Properties
Space group: No. 12
Calculated formation energy: -0.498 eV/atom
E: -36.19 eV for the cell shown

Cell lengths 8.5488, 8.5488, 9.4737 Å; angles 120.37, 120.37, 30.33 degrees
Atoms (fractional coordinates):
Sr1 0.2436 0.2436 0.2945
Sr2 0.7564 0.7564 0.7055
Cd1 0.0609 0.0609 0.4196
Cd2 0.9391 0.9391 0.5804
As1 0.1418 0.1418 0.7667
As2 0.3852 0.3852 0.6802
As3 0.6148 0.6148 0.3198
As4 0.8582 0.8582 0.2333
Pb1 0.4072 0.4072 0.0926
Pb2 0.5928 0.5928 0.9074



# 6
Below is an optimized crystal structure of NbSi2BiPd, with properties calculated at the GGA-PBE level.

Properties
Raw formation energy: 623.1 meV/atom
Space group: No. 123
E: -26.87 eV for the cell shown

Cell lengths 4.5475, 4.5475, 5.3806 Å; angles 90.00, 90.00, 90.00 degrees
Atoms (fractional coordinates):
Nb1 0.0000 0.0000 0.0000
Si1 0.0000 0.5000 0.5000
Si2 0.5000 0.0000 0.5000
Bi1 0.5000 0.5000 0.0000
Pd1 0.0000 0.0000 0.5000